(1)
Density functional theory data (GGA-PBE) for a relaxed Tb4NdEr6 crystal.

**DOS(E_F)**: 1.52 states/eV per atom
**Theoretical density**: 7.8 g/cm3
**Energy of formation**: 0.455 eV/atom
**Total energy**: -4.15 eV/atom

Cell: 7.698 7.698 12.825 Å, 90.00 90.00 90.00°
Space group I-42m (No. 121)
Inequivalent atoms, fractional coordinates:
Tb 0.168 0.168 0.425 [8 per cell]
Nd 0.000 0.000 0.000 [2 per cell]
Er 0.000 0.500 0.000 [4 per cell]
Er 0.247 0.247 0.686 [8 per cell]

(2)
Density functional theory data (GGA-PBE) for a relaxed Tb6Nd5Er crystal.

**DOS(E_F)**: 1.26 states/eV per atom
**Theoretical density**: 7.7 g/cm3
**Energy of formation**: 0.013 eV/atom
**Total energy**: -4.67 eV/atom

Cell: 6.251 10.825 11.923 Å, 90.00 100.05 90.00°
Space group C2/m (No. 12)
Inequivalent atoms, fractional coordinates:
Tb 0.249 0.166 0.249 [8 per cell]
Tb 0.250 0.000 0.751 [4 per cell]
Nd 0.000 0.167 0.500 [4 per cell]
Nd 0.000 0.334 0.000 [4 per cell]
Nd 0.000 0.500 0.500 [2 per cell]
Er 0.000 0.000 0.000 [2 per cell]

(3)
Density functional theory data (GGA-PBE) for a relaxed TbNdEr3 crystal.

**DOS(E_F)**: 2.00 states/eV per atom
**Theoretical density**: 8.4 g/cm3
**Energy of formation**: 0.012 eV/atom
**Total energy**: -4.61 eV/atom

Cell: 6.246 5.670 9.560 Å, 90.00 108.99 90.00°
Space group P2_1/m (No. 11)
Inequivalent atoms, fractional coordinates:
Tb 0.033 0.250 0.401 [2 per cell]
Nd 0.431 0.250 0.200 [2 per cell]
Er 0.165 0.750 0.000 [2 per cell]
Er 0.234 0.250 0.799 [2 per cell]
Er 0.365 0.750 0.400 [2 per cell]

(4)
Density functional theory data (GGA-PBE) for a relaxed Tb6Nd2Er crystal.

**DOS(E_F)**: 1.67 states/eV per atom
**Theoretical density**: 8.0 g/cm3
**Energy of formation**: 0.109 eV/atom
**Total energy**: -4.54 eV/atom

Cell: 10.726 17.748 6.154 Å, 90.00 93.39 90.00°
Space group C2/c (No. 15)
Inequivalent atoms, fractional coordinates:
Tb 0.081 0.085 0.000 [8 per cell]
Tb 0.081 0.415 0.001 [8 per cell]
Tb 0.167 0.250 0.748 [8 per cell]
Nd 0.250 0.081 0.500 [8 per cell]
Er 0.000 0.250 0.250 [4 per cell]